Compound: Na3La2Se4
Source: Alexandria
Functional: PBE
Structure: optimized geometry

a b c (Å): 4.3508 4.3508 17.2455
angles (deg): 90.06 89.94 120.00
Last column: nearest neighbours and their distance in Å.
Element x y z (fractional)
Se 0.6662 0.3338 0.1062  3 La 3.01, 3 Na 3.11
Se 0.9990 0.0010 0.3014  3 La 3.04, 3 Na 3.06
Se 0.0010 0.9990 0.6986  3 La 3.04, 3 Na 3.06
Se 0.3338 0.6662 0.8938  3 La 3.01, 3 Na 3.11
Na 0.3345 0.6655 0.5971  3 Se 3.06
Na 0.0000 0.0000 0.0000  6 Se 3.11
Na 0.6655 0.3345 0.4029  3 Se 3.06
La 0.6674 0.3326 0.7975  6 Se 3.01-3.04
La 0.3326 0.6674 0.2025  6 Se 3.01-3.04

Spin magnetization   0.00 μB per formula unit
ρ   3.9 g/cm³
Electronic total energy   -4.613 eV per atom
Volume   282.7 Å³/f.u.

***

Compound: NaLa3Se4
Source: Alexandria
Functional: PBE
Structure: optimized geometry

a b c (Å): 6.0848 6.0848 6.0848
angles (deg): 90.00 90.00 90.00
Last column: nearest neighbours and their distance in Å.
Element x y z (fractional)
La 0.0000 0.5000 0.5000  6 Se 3.04
La 0.5000 0.0000 0.5000  6 Se 3.04
La 0.5000 0.5000 0.0000  6 Se 3.04
Na 0.0000 0.0000 0.0000  6 Se 3.04
Se 0.5000 0.5000 0.5000  6 La 3.04
Se 0.5000 0.0000 0.0000  4 La 3.04, 2 Na 3.04
Se 0.0000 0.0000 0.5000  4 La 3.04, 2 Na 3.04
Se 0.0000 0.5000 0.0000  4 La 3.04, 2 Na 3.04

Spin magnetization   0.00 μB per formula unit
Energy above the lowest structure with this stoichiometry   0.000 eV/atom
ρ   5.6 g/cm³
Volume   225.3 Å³/f.u.

***

| no. | D(E_F) (states/eV/atom) |
| --- | --- |
| 1 | 0.23 |
| 2 | 0.38 |